The following is a DFT calculation (PBE) of crystalline KSrZnHg at its relaxed geometry.

Summary:
Space-group type ... F-43m
Size of the total moment ... 0.0000 μB/atom
N(E_F) ... 3.92 states/eV/f.u.
Formation enthalpy at 0 K ... -109 meV per atom

a = 5.706 Å, b = 5.706 Å, c = 5.706 Å
α = 60.00°, β = 60.00°, γ = 60.00°
Sites, in units of the cell vectors:
K 0.750 0.750 0.750
Sr 0.250 0.250 0.250
Zn 0.000 0.000 0.000
Hg 0.500 0.500 0.500